VASP calculation (PBE-GGA) on a geometry-optimized KBF6 structure.

Values from the calculation:
DOS(E_F) (states/eV/f.u.): 7.14
Total moment (μB/f.u.): 2.00

a = 6.3205 Å, b = 7.1756 Å, c = 4.7974 Å
α = 90.00°, β = 101.18°, γ = 90.00°
Last column: nearest neighbours and their distance in Å.
Sites, in units of the cell vectors:
K 0.0000 0.0000 0.0000  12 F 2.87-2.96
K 0.5000 0.5000 0.0000  12 F 2.87-2.96
B 0.0000 0.5000 0.5000  6 F 1.59
B 0.5000 0.0000 0.5000  6 F 1.59
F 0.0776 0.3438 0.7324  1 B 1.59
F 0.0776 0.6562 0.7324  1 B 1.59
F 0.2328 0.5000 0.4206  1 B 1.59
F 0.2672 0.0000 0.5794  1 B 1.59
F 0.4224 0.1562 0.2676  1 B 1.59
F 0.4224 0.8438 0.2676  1 B 1.59
F 0.5776 0.1562 0.7324  1 B 1.59
F 0.5776 0.8438 0.7324  1 B 1.59
F 0.7328 0.0000 0.4206  1 B 1.59
F 0.7672 0.5000 0.5794  1 B 1.59
F 0.9224 0.3438 0.2676  1 B 1.59
F 0.9224 0.6562 0.2676  1 B 1.59

VASP calculation (PBE-GGA) on a geometry-optimized TmHfNi2 structure.

Values from the calculation:
DOS(E_F) (states/eV/f.u.): 2.19
Total moment (μB/f.u.): 0.00
Formation energy (eV per atom): -0.506

a = 5.0896 Å, b = 4.2630 Å, c = 6.8925 Å
α = 90.00°, β = 108.75°, γ = 90.00°
Last column: nearest neighbours and their distance in Å.
Sites, in units of the cell vectors:
Tm 0.2230 0.2500 0.4271  7 Ni 2.74-2.97
Tm 0.7770 0.7500 0.5729  7 Ni 2.74-2.97
Hf 0.2172 0.2500 0.9355  7 Ni 2.59-2.70
Hf 0.7828 0.7500 0.0645  7 Ni 2.59-2.70
Ni 0.3371 0.7500 0.1821  2 Ni 2.63, 4 Hf 2.64-2.67, 3 Tm 2.89-2.90
Ni 0.3440 0.7500 0.7432  3 Hf 2.59-2.70, 2 Ni 2.63, 2 Tm 2.74-2.81
Ni 0.6560 0.2500 0.2568  3 Hf 2.59-2.70, 2 Ni 2.63, 2 Tm 2.74-2.81
Ni 0.6629 0.2500 0.8179  2 Ni 2.63, 4 Hf 2.64-2.67, 3 Tm 2.89-2.90

VASP calculation (PBE-GGA) on a geometry-optimized SiSbTe structure.

Values from the calculation:
DOS(E_F) (states/eV/f.u.): 1.91
Total moment (μB/f.u.): 0.00

a = 6.8850 Å, b = 6.8850 Å, c = 6.8850 Å
α = 90.00°, β = 90.00°, γ = 90.00°
Last column: nearest neighbours and their distance in Å.
Sites, in units of the cell vectors:
Si 0.0000 0.0000 0.0000  4 Sb 2.98, 4 Te 2.98
Si 0.0000 0.5000 0.5000  4 Sb 2.98, 4 Te 2.98
Si 0.5000 0.0000 0.5000  4 Sb 2.98, 4 Te 2.98
Si 0.5000 0.5000 0.0000  4 Sb 2.98, 4 Te 2.98
Sb 0.2500 0.2500 0.2500  4 Si 2.98
Sb 0.2500 0.7500 0.7500  4 Si 2.98
Sb 0.7500 0.2500 0.7500  4 Si 2.98
Sb 0.7500 0.7500 0.2500  4 Si 2.98
Te 0.2500 0.2500 0.7500  4 Si 2.98
Te 0.2500 0.7500 0.2500  4 Si 2.98
Te 0.7500 0.2500 0.2500  4 Si 2.98
Te 0.7500 0.7500 0.7500  4 Si 2.98

VASP calculation (PBE-GGA) on a geometry-optimized PrMg2Zn structure.

Values from the calculation:
DOS(E_F) (states/eV/f.u.): 3.79
Total moment (μB/f.u.): 0.00
Formation energy (eV per atom): -0.109

a = 4.4721 Å, b = 4.4721 Å, c = 4.9609 Å
α = 90.00°, β = 90.00°, γ = 90.00°
Last column: nearest neighbours and their distance in Å.
Sites, in units of the cell vectors:
Pr 0.0000 0.0000 0.0000  4 Zn 3.16, 8 Mg 3.34
Mg 0.0000 0.5000 0.5000  4 Mg 3.16, 4 Pr 3.34, 4 Zn 3.34
Mg 0.5000 0.0000 0.5000  4 Mg 3.16, 4 Pr 3.34, 4 Zn 3.34
Zn 0.5000 0.5000 0.0000  4 Pr 3.16, 8 Mg 3.34

VASP calculation (PBE-GGA) on a geometry-optimized PmHoPu2 structure.

Values from the calculation:
DOS(E_F) (states/eV/f.u.): 14.47
Total moment (μB/f.u.): 12.77
Formation energy (eV per atom): 0.195

a = 3.4276 Å, b = 3.4276 Å, c = 10.1284 Å
α = 90.00°, β = 90.00°, γ = 90.00°
Last column: nearest neighbours and their distance in Å.
Sites, in units of the cell vectors:
Pm 0.0000 0.0000 0.0000  4 Pm 3.43, 8 Pu 3.54
Ho 0.0000 0.0000 0.5000  4 Ho 3.43, 8 Pu 3.47
Pu 0.5000 0.5000 0.2546  4 Pu 3.43, 4 Ho 3.47, 4 Pm 3.54
Pu 0.5000 0.5000 0.7454  4 Pu 3.43, 4 Ho 3.47, 4 Pm 3.54

VASP calculation (PBE-GGA) on a geometry-optimized Ac4GeSb2Se structure.

Values from the calculation:
DOS(E_F) (states/eV/f.u.): 1.16
Total moment (μB/f.u.): 0.00

a = 8.0863 Å, b = 4.6798 Å, c = 8.1232 Å
α = 90.00°, β = 109.39°, γ = 90.00°
Last column: nearest neighbours and their distance in Å.
Sites, in units of the cell vectors:
Ac 0.2416 0.0000 0.2373  2 Ge 3.24, 1 Se 3.28, 3 Sb 3.34-3.38
Ac 0.2459 0.5000 0.7592  1 Ge 3.22, 2 Se 3.29, 3 Sb 3.33-3.39
Ac 0.7541 0.5000 0.2408  1 Ge 3.22, 2 Se 3.29, 3 Sb 3.33-3.39
Ac 0.7584 0.0000 0.7627  2 Ge 3.24, 1 Se 3.28, 3 Sb 3.34-3.38
Ge 0.0000 0.5000 0.0000  6 Ac 3.22-3.24
Sb 0.0000 0.0000 0.5000  6 Ac 3.33-3.34
Sb 0.5000 0.5000 0.5000  6 Ac 3.38-3.39
Se 0.5000 0.0000 0.0000  6 Ac 3.28-3.29

VASP calculation (PBE-GGA) on a geometry-optimized YRe2 structure.

Values from the calculation:
DOS(E_F) (states/eV/f.u.): 3.10
Total moment (μB/f.u.): 0.00
Formation energy (eV per atom): 0.647

a = 2.7967 Å, b = 8.0648 Å, c = 4.9198 Å
α = 90.00°, β = 90.00°, γ = 90.00°
Last column: nearest neighbours and their distance in Å.
Sites, in units of the cell vectors:
Y 0.0000 0.0000 0.0000  2 Y 2.80, 6 Re 2.87-2.92
Y 0.5000 0.5000 0.5000  2 Y 2.80, 6 Re 2.87-2.92
Re 0.1350 0.3529 0.0000  1 Re 2.49
Re 0.3650 0.8529 0.5000  1 Re 2.49
Re 0.6350 0.1471 0.5000  1 Re 2.49
Re 0.8650 0.6471 0.0000  1 Re 2.49

VASP calculation (PBE-GGA) on a geometry-optimized Ba2HoAg2S4 structure.

Values from the calculation:
DOS(E_F) (states/eV/f.u.): 2.07
Total moment (μB/f.u.): 0.00

a = 8.1763 Å, b = 8.1763 Å, c = 7.7940 Å
α = 114.00°, β = 114.00°, γ = 28.30°
Last column: nearest neighbours and their distance in Å.
Sites, in units of the cell vectors:
Ba 0.1362 0.1362 0.0801  7 S 3.09-3.44, 1 Ag 3.27
Ba 0.8638 0.8638 0.9199  7 S 3.09-3.44, 1 Ag 3.27
Ho 0.0000 0.0000 0.5000  6 S 2.76-2.83
Ag 0.3153 0.3153 0.4918  3 S 2.58-2.67
Ag 0.6847 0.6847 0.5082  3 S 2.58-2.67
S 0.1871 0.1871 0.7379  2 Ag 2.67, 1 Ho 2.76
S 0.4852 0.4852 0.7424  1 Ag 2.58, 2 Ho 2.83
S 0.5148 0.5148 0.2576  1 Ag 2.58, 2 Ho 2.83
S 0.8129 0.8129 0.2621  2 Ag 2.67, 1 Ho 2.76

Calculated final energy, -4.178, -7.003, -3.774, -2.420, -9.304, -5.376, -9.806, -4.745 eV per atom (same order as the records).